VASP calculation (GGA-PBE) on a relaxed structure of Ac2GaAu.

Results
The volume is 432.9 Å³/cell. As for the size of the total moment: 0.00 μB/f.u. As for the uncorrected energy: -3.678 eV per atom.

Cell: 3.9573 3.9573 31.9201 Å, 90.00 90.00 120.00°
Space group R-3m (No. 166, hexagonal axes)
Unique sites:
Ac1 0.0000 0.0000 0.0945
Ga1 0.0000 0.0000 0.5000
Au1 0.0000 0.0000 0.0000